Here is an optimized crystal structure of Rb3Tb3PaS8 from Alexandria. Energies are from GGA-PBE.

CIF file:
```
data_Rb3Tb3PaS8
_chemical_formula_sum 'Rb9 Tb9 Pa3 S24'
_space_group_name_H-M_alt 'R -3 m'
_space_group_IT_number 166
_space_group_name_Hall '-R 3 2"'
_cell_length_a 8.1471
_cell_length_b 8.1471
_cell_length_c 23.4433
_cell_angle_alpha 90.00
_cell_angle_beta 90.00
_cell_angle_gamma 120.00
loop_
_atom_site_label
_atom_site_type_symbol
_atom_site_fract_x
_atom_site_fract_y
_atom_site_fract_z
_atom_site_occupancy
Rb1 Rb 0.0000 0.5000 0.0000 1
Tb1 Tb 0.0000 0.5000 0.5000 1
Pa1 Pa 0.0000 0.0000 0.5000 1
S1 S 0.0000 0.0000 0.2302 1
S2 S 0.0044 0.5022 0.2291 1
```

Computed properties:
The uncorrected energy is -0.424 Ry per atom. As for the density of states at the Fermi level: 10.2 states/eV/cell. The magnetization is 0.0693 μB per atom.